The following is a PBE-GGA calculation of GdHo2Mg after structural relaxation, from the Alexandria database.

CIF file:
```
data_GdHo2Mg
_chemical_formula_sum 'Gd3 Ho6 Mg3'
_cell_length_a 3.4282
_cell_length_b 3.4282
_cell_length_c 36.6599
_cell_angle_alpha 90.00
_cell_angle_beta 90.00
_cell_angle_gamma 120.00
_symmetry_space_group_name_H-M 'R -3 m'
_symmetry_Int_Tables_number 166
_symmetry_space_group_name_Hall '-R 3 2"'
loop_
_atom_site_label
_atom_site_fract_x
_atom_site_fract_y
_atom_site_fract_z
Gd1 0.0000 0.0000 0.0000
Ho1 0.0000 0.0000 0.4111
Mg1 0.0000 0.0000 0.5000
```

Properties
E_form = 206.4 meV per atom
D(E_F) = 12.94 states/eV/cell
Density = 6.8 g/cm3



The following is a PBE-GGA calculation of TbMgGaO4 after structural relaxation, from the Alexandria database.

CIF file:
```
data_TbMgGaO4
_chemical_formula_sum 'Tb4 Mg4 Ga4 O16'
_cell_length_a 6.2199
_cell_length_b 6.4430
_cell_length_c 8.7683
_cell_angle_alpha 90.00
_cell_angle_beta 90.00
_cell_angle_gamma 90.00
_symmetry_space_group_name_H-M 'I m m a'
_symmetry_Int_Tables_number 74
_symmetry_space_group_name_Hall '-I 2b 2'
loop_
_atom_site_label
_atom_site_fract_x
_atom_site_fract_y
_atom_site_fract_z
Tb1 0.0000 0.0000 0.0000
Mg1 0.2500 0.2500 0.2500
Ga1 0.0000 0.2500 0.6228
O1 0.0000 0.0042 0.2580
O2 0.2465 0.2500 0.4919
```

Properties
E_form (uncorrected) = -2582 meV per atom
D(E_F) = 0.00 states/eV/cell
Density = 6.0 g/cm3



The following is a PBE-GGA calculation of CaTb2DyY4 after structural relaxation, from the Alexandria database.

CIF file:
```
data_CaTb2DyY4
_chemical_formula_sum 'Ca4 Tb8 Dy4 Y16'
_cell_length_a 6.8439
_cell_length_b 11.9717
_cell_length_c 13.4101
_cell_angle_alpha 90.00
_cell_angle_beta 90.00
_cell_angle_gamma 90.00
_symmetry_space_group_name_H-M 'I m m a'
_symmetry_Int_Tables_number 74
_symmetry_space_group_name_Hall '-I 2b 2'
loop_
_atom_site_label
_atom_site_fract_x
_atom_site_fract_y
_atom_site_fract_z
Ca1 0.2500 0.2500 0.2500
Tb1 0.0000 0.0000 0.0000
Tb2 0.2500 0.2500 0.7500
Dy1 0.0000 0.0000 0.5000
Y1 0.0000 0.0155 0.7495
Y2 0.2499 0.2500 0.5034
```

Properties
E_form = 439.1 meV per atom
D(E_F) = 67.78 states/eV/cell
Density = 5.3 g/cm3



The following is a PBE-GGA calculation of SbTe6Au2 after structural relaxation, from the Alexandria database.

CIF file:
```
data_SbTe6Au2
_chemical_formula_sum 'Sb4 Te24 Au8'
_cell_length_a 15.4963
_cell_length_b 14.3858
_cell_length_c 5.6189
_cell_angle_alpha 90.00
_cell_angle_beta 110.51
_cell_angle_gamma 90.00
_symmetry_space_group_name_H-M 'C 1 2/c 1'
_symmetry_Int_Tables_number 15
loop_
_symmetry_equiv_pos_as_xyz
'x,y,z'
'-x,-y,-z'
'-x,y,-z+1/2'
'x,-y,z+1/2'
'x+1/2,y+1/2,z'
'-x+1/2,-y+1/2,-z'
'-x+1/2,y+1/2,-z+1/2'
'x+1/2,-y+1/2,z+1/2'
loop_
_atom_site_label
_atom_site_fract_x
_atom_site_fract_y
_atom_site_fract_z
Sb1 0.0000 0.2006 0.2500
Te1 0.0694 0.3768 0.1181
Te2 0.1346 0.0771 0.0604
Te3 0.1604 0.2274 0.7585
Au1 0.2251 0.3845 0.5134
```

Properties
E_form (uncorrected) = 4 meV per atom
D(E_F) = 13.84 states/eV/cell
Density = 7.3 g/cm3



The following is a PBE-GGA calculation of InAsIr3 after structural relaxation, from the Alexandria database.

CIF file:
```
data_InAsIr3
_chemical_formula_sum 'In1 As1 Ir3'
_cell_length_a 4.8641
_cell_length_b 4.8641
_cell_length_c 4.8641
_cell_angle_alpha 90.00
_cell_angle_beta 90.00
_cell_angle_gamma 90.00
_symmetry_space_group_name_H-M 'P m -3 m'
_symmetry_Int_Tables_number 221
_symmetry_space_group_name_Hall '-P 4 2 3'
loop_
_atom_site_label
_atom_site_fract_x
_atom_site_fract_y
_atom_site_fract_z
In1 0.0000 0.0000 0.0000
As1 0.5000 0.5000 0.5000
Ir1 0.0000 0.0000 0.5000
```

Properties
E_form = 2107.7 meV per atom
D(E_F) = 5.97 states/eV/cell
Density = 11.1 g/cm3



The following is a PBE-GGA calculation of Mg3SnRu after structural relaxation, from the Alexandria database.

CIF file:
```
data_Mg3SnRu
_chemical_formula_sum 'Mg3 Sn1 Ru1'
_cell_length_a 4.9562
_cell_length_b 4.9562
_cell_length_c 4.9562
_cell_angle_alpha 90.00
_cell_angle_beta 90.00
_cell_angle_gamma 90.00
_symmetry_space_group_name_H-M 'P m -3 m'
_symmetry_Int_Tables_number 221
_symmetry_space_group_name_Hall '-P 4 2 3'
loop_
_atom_site_label
_atom_site_fract_x
_atom_site_fract_y
_atom_site_fract_z
Mg1 0.0000 0.0000 0.5000
Sn1 0.5000 0.5000 0.5000
Ru1 0.0000 0.0000 0.0000
```

Properties
E_form = 318.4 meV per atom
D(E_F) = 1.93 states/eV/cell
Density = 4.0 g/cm3



Q: What is the density in the fifth record?
A: 11.1 g/cm3